Version P
VASP calculation (PBE) on a relaxed NpWC2 crystal.

a = 3.125 Å, b = 3.125 Å, c = 6.122 Å
α = 75.21°, β = 75.21°, γ = 60.00°
Fractional positions:
Np: 0.495 0.495 0.514
W: 0.670 0.670 0.991
C: 0.072 0.072 0.783
C: 0.263 0.263 0.212

Values from the calculation:
Space-group type: R3m
M_tot (μB per formula unit): 2.658

***

Version Q
VASP calculation (PBE) on a relaxed NpWC2 crystal.

a = 3.210 Å, b = 3.210 Å, c = 5.811 Å
α = 73.97°, β = 73.97°, γ = 60.00°
Fractional positions:
Np: 0.500 0.500 0.500
C: 0.260 0.260 0.220
C: 0.740 0.740 0.780
W: 0.000 0.000 0.000

Values from the calculation:
Space-group type: R-3m
M_tot (μB per formula unit): 2.361

***

Result of the stability comparison: version P is the least stable of them.

***

Version P
VASP calculation (PBE) on a relaxed YNpC crystal.

a = 4.624 Å, b = 3.709 Å, c = 7.071 Å
α = 74.80°, β = 90.00°, γ = 90.00°
Fractional positions:
Y: 0.750 0.676 0.648
Y: 0.250 0.324 0.352
Np: 0.500 0.000 0.000
Np: 0.000 0.000 0.000
C: 0.750 0.852 0.296
C: 0.250 0.148 0.704

Values from the calculation:
Space-group type: Cmcm
M_tot (μB per formula unit): 0.674

***

Version Q
VASP calculation (PBE) on a relaxed YNpC crystal.

a = 6.245 Å, b = 3.425 Å, c = 3.425 Å
α = 120.00°, β = 90.00°, γ = 90.00°
Fractional positions:
Np: 0.225 0.333 0.667
Y: 0.767 0.667 0.333
C: 0.009 0.000 0.000

Values from the calculation:
Space-group type: P3m1
M_tot (μB per formula unit): 4.214

***

Result of the stability comparison: version P is the least stable of them.

***

Version P
VASP calculation (PBE) on a relaxed PPbCO2 crystal.

a = 4.064 Å, b = 4.064 Å, c = 3.733 Å
α = 90.00°, β = 90.00°, γ = 90.00°
Fractional positions:
Pb: 0.500 0.500 0.500
P: 0.000 0.000 0.500
C: 0.000 0.000 0.000
O: 0.000 0.500 0.000
O: 0.500 0.000 0.000

Values from the calculation:
Space-group type: P4/mmm
M_tot (μB per formula unit): 0.000

***

Version Q
VASP calculation (PBE) on a relaxed PPbCO2 crystal.

a = 4.000 Å, b = 4.000 Å, c = 6.102 Å
α = 90.00°, β = 90.00°, γ = 90.00°
Fractional positions:
Pb: 0.000 0.000 0.000
P: 0.000 0.000 0.500
C: 0.500 0.500 0.500
O: 0.000 0.500 0.000
O: 0.500 0.000 0.000

Values from the calculation:
Space-group type: P4/mmm
M_tot (μB per formula unit): 0.297

***

Result of the stability comparison: version Q is the least stable of them.

***

Version P
VASP calculation (PBE) on a relaxed PPtCO2 crystal.

a = 3.569 Å, b = 3.569 Å, c = 3.970 Å
α = 90.00°, β = 90.00°, γ = 90.00°
Fractional positions:
P: 0.000 0.000 0.500
C: 0.000 0.000 0.000
O: 0.000 0.500 0.000
O: 0.500 0.000 0.000
Pt: 0.500 0.500 0.500

Values from the calculation:
Space-group type: P4/mmm
M_tot (μB per formula unit): 0.000

***

Version Q
VASP calculation (PBE) on a relaxed PPtCO2 crystal.

a = 3.701 Å, b = 3.701 Å, c = 5.411 Å
α = 90.00°, β = 90.00°, γ = 90.00°
Fractional positions:
P: 0.000 0.000 0.500
C: 0.500 0.500 0.500
O: 0.000 0.500 0.000
O: 0.500 0.000 0.000
Pt: 0.000 0.000 0.000

Values from the calculation:
Space-group type: P4/mmm
M_tot (μB per formula unit): 1.427

***

Result of the stability comparison: version Q is the least stable of them.

***

Version P
VASP calculation (PBE) on a relaxed RbP2CO crystal.

a = 6.922 Å, b = 6.922 Å, c = 5.016 Å
α = 90.00°, β = 90.00°, γ = 90.00°
Fractional positions:
P: 0.000 0.500 0.000
P: 0.500 0.000 0.000
C: 0.500 0.500 0.500
O: 0.000 0.000 0.500
Rb: 0.000 0.000 0.000

Values from the calculation:
Space-group type: P4/mmm
M_tot (μB per formula unit): 3.758

***

Version Q
VASP calculation (PBE) on a relaxed RbP2CO crystal.

a = 3.839 Å, b = 3.839 Å, c = 7.213 Å
α = 90.00°, β = 90.00°, γ = 90.00°
Fractional positions:
P: 0.000 0.500 0.000
P: 0.500 0.000 0.000
C: 0.000 0.000 0.000
O: 0.000 0.000 0.500
Rb: 0.500 0.500 0.500

Values from the calculation:
Space-group type: P4/mmm
M_tot (μB per formula unit): 0.000

***

Result of the stability comparison: version P is the least stable of them.

***

Version P
VASP calculation (PBE) on a relaxed RePCO2 crystal.

a = 3.610 Å, b = 3.610 Å, c = 3.804 Å
α = 90.00°, β = 90.00°, γ = 90.00°
Fractional positions:
Re: 0.500 0.500 0.500
C: 0.000 0.000 0.000
O: 0.000 0.500 0.000
O: 0.500 0.000 0.000
P: 0.000 0.000 0.500

Values from the calculation:
Space-group type: P4/mmm
M_tot (μB per formula unit): 0.561

***

Version Q
VASP calculation (PBE) on a relaxed RePCO2 crystal.

a = 3.679 Å, b = 3.679 Å, c = 5.130 Å
α = 90.00°, β = 90.00°, γ = 90.00°
Fractional positions:
Re: 0.000 0.000 0.000
C: 0.500 0.500 0.500
O: 0.000 0.500 0.000
O: 0.500 0.000 0.000
P: 0.000 0.000 0.500

Values from the calculation:
Space-group type: P4/mmm
M_tot (μB per formula unit): 1.054

***

Result of the stability comparison: version P is the least stable of them.

***

Version P
VASP calculation (PBE) on a relaxed PRhCO2 crystal.

a = 3.646 Å, b = 3.646 Å, c = 5.309 Å
α = 90.00°, β = 90.00°, γ = 90.00°
Fractional positions:
P: 0.000 0.000 0.500
C: 0.500 0.500 0.500
Rh: 0.000 0.000 0.000
O: 0.000 0.500 0.000
O: 0.500 0.000 0.000

Values from the calculation:
Space-group type: P4/mmm
M_tot (μB per formula unit): 0.901

***

Version Q
VASP calculation (PBE) on a relaxed PRhCO2 crystal.

a = 3.573 Å, b = 3.573 Å, c = 3.867 Å
α = 90.00°, β = 90.00°, γ = 90.00°
Fractional positions:
P: 0.000 0.000 0.500
C: 0.000 0.000 0.000
Rh: 0.500 0.500 0.500
O: 0.000 0.500 0.000
O: 0.500 0.000 0.000

Values from the calculation:
Space-group type: P4/mmm
M_tot (μB per formula unit): 0.910

***

Result of the stability comparison: version P is the least stable of them.

***

Version P
VASP calculation (PBE) on a relaxed P2RuCO crystal.

a = 4.671 Å, b = 4.671 Å, c = 3.620 Å
α = 90.00°, β = 90.00°, γ = 90.00°
Fractional positions:
Ru: 0.000 0.000 0.000
C: 0.500 0.500 0.500
O: 0.000 0.000 0.500
P: 0.000 0.500 0.000
P: 0.500 0.000 0.000

Values from the calculation:
Space-group type: P4/mmm
M_tot (μB per formula unit): 0.651

***

Version Q
VASP calculation (PBE) on a relaxed P2RuCO crystal.

a = 3.836 Å, b = 3.836 Å, c = 3.757 Å
α = 90.00°, β = 90.00°, γ = 90.00°
Fractional positions:
Ru: 0.500 0.500 0.500
C: 0.000 0.000 0.000
O: 0.000 0.000 0.500
P: 0.000 0.500 0.000
P: 0.500 0.000 0.000

Values from the calculation:
Space-group type: P4/mmm
M_tot (μB per formula unit): 0.000

***

Result of the stability comparison: version P is the least stable of them.

***

Version P
VASP calculation (PBE) on a relaxed SiP2CO crystal.

a = 4.124 Å, b = 4.124 Å, c = 3.311 Å
α = 90.00°, β = 90.00°, γ = 90.00°
Fractional positions:
P: 0.000 0.500 0.000
P: 0.500 0.000 0.000
Si: 0.500 0.500 0.500
C: 0.000 0.000 0.000
O: 0.000 0.000 0.500

Values from the calculation:
Space-group type: P4/mmm
M_tot (μB per formula unit): 0.000

***

Version Q
VASP calculation (PBE) on a relaxed SiP2CO crystal.

a = 4.610 Å, b = 4.610 Å, c = 3.237 Å
α = 90.00°, β = 90.00°, γ = 90.00°
Fractional positions:
P: 0.000 0.500 0.000
P: 0.500 0.000 0.000
Si: 0.000 0.000 0.000
C: 0.500 0.500 0.500
O: 0.000 0.000 0.500

Values from the calculation:
Space-group type: P4/mmm
M_tot (μB per formula unit): 0.001

***

Result of the stability comparison: version Q is the least stable of them.

***

Version P
VASP calculation (PBE) on a relaxed SnP2CO crystal.

a = 4.218 Å, b = 4.218 Å, c = 3.670 Å
α = 90.00°, β = 90.00°, γ = 90.00°
Fractional positions:
P: 0.000 0.500 0.000
P: 0.500 0.000 0.000
C: 0.000 0.000 0.000
Sn: 0.500 0.500 0.500
O: 0.000 0.000 0.500

Values from the calculation:
Space-group type: P4/mmm
M_tot (μB per formula unit): 0.000

***

Version Q
VASP calculation (PBE) on a relaxed SnP2CO crystal.

a = 5.100 Å, b = 5.100 Å, c = 3.878 Å
α = 90.00°, β = 90.00°, γ = 90.00°
Fractional positions:
P: 0.000 0.500 0.000
P: 0.500 0.000 0.000
C: 0.500 0.500 0.500
Sn: 0.000 0.000 0.000
O: 0.000 0.000 0.500

Values from the calculation:
Space-group type: P4/mmm
M_tot (μB per formula unit): 0.040

***

Result of the stability comparison: version Q is the least stable of them.

***

Version P
VASP calculation (PBE) on a relaxed SrP2CO crystal.

a = 3.736 Å, b = 3.736 Å, c = 6.443 Å
α = 90.00°, β = 90.00°, γ = 90.00°
Fractional positions:
Sr: 0.500 0.500 0.500
C: 0.000 0.000 0.000
O: 0.000 0.000 0.500
P: 0.000 0.500 0.000
P: 0.500 0.000 0.000

Values from the calculation:
Space-group type: P4/mmm
M_tot (μB per formula unit): 0.000

***

Version Q
VASP calculation (PBE) on a relaxed SrP2CO crystal.

a = 5.831 Å, b = 5.831 Å, c = 4.413 Å
α = 90.00°, β = 90.00°, γ = 90.00°
Fractional positions:
Sr: 0.000 0.000 0.000
C: 0.500 0.500 0.500
O: 0.000 0.000 0.500
P: 0.000 0.500 0.000
P: 0.500 0.000 0.000

Values from the calculation:
Space-group type: P4/mmm
M_tot (μB per formula unit): 4.534

***

Result of the stability comparison: version Q is the least stable of them.

***

Version P
VASP calculation (PBE) on a relaxed TiPCO2 crystal.

a = 3.622 Å, b = 3.622 Å, c = 3.817 Å
α = 90.00°, β = 90.00°, γ = 90.00°
Fractional positions:
P: 0.000 0.000 0.500
C: 0.000 0.000 0.000
O: 0.000 0.500 0.000
O: 0.500 0.000 0.000
Ti: 0.500 0.500 0.500

Values from the calculation:
Space-group type: P4/mmm
M_tot (μB per formula unit): 0.000

***

Version Q
VASP calculation (PBE) on a relaxed TiPCO2 crystal.

a = 3.640 Å, b = 3.640 Å, c = 5.529 Å
α = 90.00°, β = 90.00°, γ = 90.00°
Fractional positions:
P: 0.000 0.000 0.500
C: 0.500 0.500 0.500
O: 0.000 0.500 0.000
O: 0.500 0.000 0.000
Ti: 0.000 0.000 0.000

Values from the calculation:
Space-group type: P4/mmm
M_tot (μB per formula unit): 0.197

***

Result of the stability comparison: version P is the least stable of them.